Record 1
Below is Y2CuNi at its PBEsol-relaxed geometry, with properties calculated at the SCAN level.

Properties
SG: P4/mmm (123)
energy relative to the elements: -330 meV/atom
ρ: 6.52 Mg/m³

a b c (Å): 3.358 3.358 6.781
angles (deg): 90.00 90.00 90.00
Fractional coordinates of all 4 atoms:
Y1 0.000 0.000 0.258
Y2 0.000 0.000 0.742
Ni1 0.500 0.500 0.500
Cu1 0.500 0.500 0.000

Record 2
Below is YCuNi2 at its PBEsol-relaxed geometry, with properties calculated at the SCAN level.

Properties
SG: P4/mmm (123)
energy relative to the elements: -133 meV/atom
ρ: 7.93 Mg/m³

a b c (Å): 3.701 3.906 3.906
angles (deg): 90.00 90.00 90.00
Fractional coordinates of all 4 atoms:
Y1 0.500 0.500 0.500
Cu1 0.500 0.000 0.000
Ni1 0.000 0.000 0.500
Ni2 0.000 0.500 0.000